CsIN2: relaxed, GGA-PBE.

Values from the calculation:
The space group is Cm (8). The value obtained for the total magnetization is 0.147 μB/f.u. For the energy relative to the elements, uncorrected, the calculation gives -0.71 eV/atom. The density of states at the Fermi level comes out at 0.00 states/eV per cell.

a = 6.194 Å, b = 11.430 Å, c = 6.265 Å
α = 64.88°, β = 100.89°, γ = 150.19°
Element x y z (fractional)
I  0.169  0.311  0.080
Cs  0.425  0.814  0.827
N  0.979  0.806  0.405
N  0.832  0.802  0.268